A | PBE-GGA LiIr2Cl, optimized geometry; M_tot = 0.0 μB/cell
1.0
5.8124 0.0000 0.0000
0.0000 5.8124 0.0000
2.9062 2.9062 4.5954
Ir Li Cl
4 2 2
Cartesian
4.5911 1.4531 1.1489
1.2213 4.3593 1.1489
4.3593 4.1274 3.4466
7.2655 7.4973 3.4466
2.9062 2.9062 0.0000
2.9062 5.8124 2.2977
0.0000 0.0000 0.0000
5.8124 2.9062 2.2977


B | PBE-GGA LiIr2Cl, optimized geometry; M_tot = 0.0 μB/cell
1.0
-2.2493 -1.6543 0.6985
1.2420 -0.6246 2.5201
-3.3674 5.8964 3.1210
Cl Ir Li
1 2 1
Cartesian
-2.9008 3.0579 3.8310
-0.0623 0.1091 0.0577
-1.3039 0.2618 2.3510
-1.7914 3.1368 1.6603


C | PBE-GGA LiIr2Cl, optimized geometry; M_tot = 0.0 μB/cell
1.0
2.8211 -0.0116 0.0000
-1.4881 2.3968 0.0000
0.0000 0.0000 8.8956
Cl Ir Li
1 2 1
Cartesian
0.6665 1.1926 6.6717
0.0000 0.0000 8.8701
0.0000 0.0000 4.4733
0.6665 1.1926 2.2239


Short version: B, C, A, most stable first.